Compound: AgSnAu
Source: the Open Quantum Materials Database
Functional: PBE
Structure: relaxed

```
data_AgSnAu
_symmetry_space_group_name_H-M 'F -4 3 m'
_symmetry_Int_Tables_number 216
_symmetry_space_group_name_Hall 'F -4 2 3'
_cell_length_a 6.516
_cell_length_b 6.516
_cell_length_c 6.516
_cell_angle_alpha 90.00
_cell_angle_beta 90.00
_cell_angle_gamma 90.00
loop_
_atom_site_label
_atom_site_type_symbol
_atom_site_fract_x
_atom_site_fract_y
_atom_site_fract_z
_atom_site_occupancy
Ag1 Ag 0.000 0.000 0.000 1
Sn1 Sn 0.250 0.250 0.250 1
Au1 Au 0.000 0.000 0.500 1
```

Compound: AgSn2Au
Source: the Open Quantum Materials Database
Functional: PBE
Structure: relaxed

```
data_AgSn2Au
_symmetry_space_group_name_H-M 'F -4 3 m'
_symmetry_Int_Tables_number 216
_symmetry_space_group_name_Hall 'F -4 2 3'
_cell_length_a 7.099
_cell_length_b 7.099
_cell_length_c 7.099
_cell_angle_alpha 90.00
_cell_angle_beta 90.00
_cell_angle_gamma 90.00
loop_
_atom_site_label
_atom_site_type_symbol
_atom_site_fract_x
_atom_site_fract_y
_atom_site_fract_z
_atom_site_occupancy
Ag1 Ag 0.000 0.000 0.000 1
Sn1 Sn 0.000 0.000 0.500 1
Sn2 Sn 0.250 0.250 0.250 1
Au1 Au 0.250 0.250 0.750 1
```

Compound: AgSnTe3Au
Source: the Open Quantum Materials Database
Functional: PBE
Structure: relaxed

```
data_AgSnTe3Au
_symmetry_space_group_name_H-M 'C m c m'
_symmetry_Int_Tables_number 63
_symmetry_space_group_name_Hall '-C 2c 2'
_cell_length_a 4.184
_cell_length_b 17.041
_cell_length_c 9.103
_cell_angle_alpha 90.00
_cell_angle_beta 90.00
_cell_angle_gamma 90.00
loop_
_atom_site_label
_atom_site_type_symbol
_atom_site_fract_x
_atom_site_fract_y
_atom_site_fract_z
_atom_site_occupancy
Ag1 Ag 0.000 0.026 0.250 1
Sn1 Sn 0.000 0.264 0.750 1
Te1 Te 0.000 0.154 0.050 1
Te2 Te 0.000 0.412 0.250 1
Au1 Au 0.000 0.500 0.000 1
```

Compound: Y2AgSn2Au
Source: the Open Quantum Materials Database
Functional: PBE
Structure: relaxed

```
data_Y2AgSn2Au
_symmetry_space_group_name_H-M 'P 1 m 1'
_symmetry_Int_Tables_number 6
_cell_length_a 8.257
_cell_length_b 4.766
_cell_length_c 15.808
_cell_angle_alpha 90.00
_cell_angle_beta 100.01
_cell_angle_gamma 90.00
loop_
_symmetry_equiv_pos_as_xyz
'x,y,z'
'x,-y,z'
loop_
_atom_site_label
_atom_site_type_symbol
_atom_site_fract_x
_atom_site_fract_y
_atom_site_fract_z
_atom_site_occupancy
Y1 Y 0.000 0.000 0.000 1
Y2 Y 0.003 0.500 0.501 1
Y3 Y 0.249 0.000 0.749 1
Y4 Y 0.252 0.500 0.250 1
Y5 Y 0.501 0.000 0.500 1
Y6 Y 0.504 0.500 0.001 1
Y7 Y 0.751 0.000 0.250 1
Y8 Y 0.755 0.500 0.751 1
Ag1 Ag 0.314 0.000 0.938 1
Ag2 Ag 0.314 0.500 0.437 1
Ag3 Ag 0.565 0.000 0.688 1
Ag4 Ag 0.815 0.000 0.438 1
Sn1 Sn 0.127 0.000 0.376 1
Sn2 Sn 0.129 0.500 0.876 1
Sn3 Sn 0.376 0.000 0.124 1
Sn4 Sn 0.379 0.500 0.625 1
Sn5 Sn 0.625 0.000 0.875 1
Sn6 Sn 0.627 0.500 0.376 1
Sn7 Sn 0.875 0.000 0.625 1
Sn8 Sn 0.877 0.500 0.126 1
Au1 Au 0.064 0.000 0.187 1
Au2 Au 0.064 0.500 0.688 1
Au3 Au 0.565 0.500 0.188 1
Au4 Au 0.815 0.500 0.938 1
```

Compound: Sr2AgAu
Source: the Open Quantum Materials Database
Functional: PBE
Structure: relaxed

```
data_Sr2AgAu
_symmetry_space_group_name_H-M 'F -4 3 m'
_symmetry_Int_Tables_number 216
_symmetry_space_group_name_Hall 'F -4 2 3'
_cell_length_a 7.487
_cell_length_b 7.487
_cell_length_c 7.487
_cell_angle_alpha 90.00
_cell_angle_beta 90.00
_cell_angle_gamma 90.00
loop_
_atom_site_label
_atom_site_type_symbol
_atom_site_fract_x
_atom_site_fract_y
_atom_site_fract_z
_atom_site_occupancy
Sr1 Sr 0.000 0.000 0.000 1
Sr2 Sr 0.250 0.250 0.250 1
Ag1 Ag 0.000 0.000 0.500 1
Au1 Au 0.250 0.250 0.750 1
```

Compound: Sr4Ag3Au
Source: the Open Quantum Materials Database
Functional: PBE
Structure: relaxed

```
data_Sr4Ag3Au
_symmetry_space_group_name_H-M 'P m m 2'
_symmetry_Int_Tables_number 25
_cell_length_a 4.397
_cell_length_b 4.769
_cell_length_c 11.875
_cell_angle_alpha 90.00
_cell_angle_beta 90.00
_cell_angle_gamma 90.00
loop_
_symmetry_equiv_pos_as_xyz
'x,y,z'
'-x,-y,z'
'-x,y,z'
'x,-y,z'
loop_
_atom_site_label
_atom_site_type_symbol
_atom_site_fract_x
_atom_site_fract_y
_atom_site_fract_z
_atom_site_occupancy
Sr1 Sr 0.000 0.000 0.000 1
Sr2 Sr 0.000 0.500 0.275 1
Sr3 Sr 0.500 0.000 0.491 1
Sr4 Sr 0.500 0.500 0.776 1
Ag1 Ag 0.000 0.000 0.707 1
Ag2 Ag 0.000 0.500 0.563 1
Ag3 Ag 0.500 0.500 0.063 1
Au1 Au 0.500 0.000 0.212 1
```

Compound: SrAg3Au2
Source: the Open Quantum Materials Database
Functional: PBE
Structure: relaxed

```
data_SrAg3Au2
_symmetry_space_group_name_H-M 'P 6/m m m'
_symmetry_Int_Tables_number 191
_symmetry_space_group_name_Hall '-P 6 2'
_cell_length_a 5.6899
_cell_length_b 5.6899
_cell_length_c 4.6734
_cell_angle_alpha 90.00
_cell_angle_beta 90.00
_cell_angle_gamma 120.00
loop_
_atom_site_label
_atom_site_type_symbol
_atom_site_fract_x
_atom_site_fract_y
_atom_site_fract_z
_atom_site_occupancy
Sr1 Sr 0.0000 0.0000 0.0000 1
Ag1 Ag 0.0000 0.5000 0.5000 1
Au1 Au 0.3333 0.6667 0.0000 1
```

Compound: Sr2AgAu3
Source: the Open Quantum Materials Database
Functional: PBE
Structure: relaxed

```
data_Sr2AgAu3
_symmetry_space_group_name_H-M 'F m m m'
_symmetry_Int_Tables_number 69
_symmetry_space_group_name_Hall '-F 2 2'
_cell_length_a 7.824
_cell_length_b 9.644
_cell_length_c 16.634
_cell_angle_alpha 90.00
_cell_angle_beta 90.00
_cell_angle_gamma 90.00
loop_
_atom_site_label
_atom_site_type_symbol
_atom_site_fract_x
_atom_site_fract_y
_atom_site_fract_z
_atom_site_occupancy
Sr1 Sr 0.248 0.000 0.000 1
Sr2 Sr 0.250 0.250 0.250 1
Ag1 Ag 0.000 0.000 0.333 1
Au1 Au 0.000 0.000 0.167 1
Au2 Au 0.000 0.248 0.416 1
```

Compound: Sr2AgAu
Source: the Open Quantum Materials Database
Functional: PBE
Structure: relaxed

```
data_Sr2AgAu
_symmetry_space_group_name_H-M 'P m c 21'
_symmetry_Int_Tables_number 26
_cell_length_a 4.795
_cell_length_b 6.290
_cell_length_c 8.139
_cell_angle_alpha 90.00
_cell_angle_beta 90.00
_cell_angle_gamma 90.00
loop_
_symmetry_equiv_pos_as_xyz
'x,y,z'
'-x,-y,z+1/2'
'-x,y,z'
'x,-y,z+1/2'
loop_
_atom_site_label
_atom_site_type_symbol
_atom_site_fract_x
_atom_site_fract_y
_atom_site_fract_z
_atom_site_occupancy
Sr1 Sr 0.000 0.112 0.000 1
Sr2 Sr 0.500 0.378 0.362 1
Ag1 Ag 0.000 0.378 0.646 1
Au1 Au 0.500 0.122 0.719 1
```

Compound: SrAg2Au3
Source: the Open Quantum Materials Database
Functional: PBE
Structure: relaxed

```
data_SrAg2Au3
_symmetry_space_group_name_H-M 'P 6/m m m'
_symmetry_Int_Tables_number 191
_symmetry_space_group_name_Hall '-P 6 2'
_cell_length_a 5.6956
_cell_length_b 5.6956
_cell_length_c 4.6711
_cell_angle_alpha 90.00
_cell_angle_beta 90.00
_cell_angle_gamma 120.00
loop_
_atom_site_label
_atom_site_type_symbol
_atom_site_fract_x
_atom_site_fract_y
_atom_site_fract_z
_atom_site_occupancy
Sr1 Sr 0.0000 0.0000 0.0000 1
Ag1 Ag 0.3333 0.6667 0.0000 1
Au1 Au 0.0000 0.5000 0.5000 1
```

Compound: Sr2AgAu
Source: the Open Quantum Materials Database
Functional: PBE
Structure: relaxed

```
data_Sr2AgAu
_symmetry_space_group_name_H-M 'A m m 2'
_symmetry_Int_Tables_number 38
_cell_length_a 4.811
_cell_length_b 4.281
_cell_length_c 11.765
_cell_angle_alpha 90.00
_cell_angle_beta 90.00
_cell_angle_gamma 90.00
loop_
_symmetry_equiv_pos_as_xyz
'x,y,z'
'-x,-y,z'
'-x,y,z'
'x,-y,z'
'x,y+1/2,z+1/2'
'-x,-y+1/2,z+1/2'
'-x,y+1/2,z+1/2'
'x,-y+1/2,z+1/2'
loop_
_atom_site_label
_atom_site_type_symbol
_atom_site_fract_x
_atom_site_fract_y
_atom_site_fract_z
_atom_site_occupancy
Sr1 Sr 0.000 0.000 0.000 1
Sr2 Sr 0.500 0.000 0.279 1
Ag1 Ag 0.500 0.000 0.564 1
Au1 Au 0.000 0.000 0.717 1
```

Compound: SrAgTe3Au
Source: the Open Quantum Materials Database
Functional: PBE
Structure: relaxed

```
data_SrAgTe3Au
_symmetry_space_group_name_H-M 'C m c m'
_symmetry_Int_Tables_number 63
_symmetry_space_group_name_Hall '-C 2c 2'
_cell_length_a 4.420
_cell_length_b 13.519
_cell_length_c 10.993
_cell_angle_alpha 90.00
_cell_angle_beta 90.00
_cell_angle_gamma 90.00
loop_
_atom_site_label
_atom_site_type_symbol
_atom_site_fract_x
_atom_site_fract_y
_atom_site_fract_z
_atom_site_occupancy
Sr1 Sr 0.000 0.233 0.250 1
Ag1 Ag 0.000 0.453 0.750 1
Te1 Te 0.000 0.075 0.750 1
Te2 Te 0.000 0.351 0.524 1
Au1 Au 0.000 0.000 0.000 1
```

no.,total energy (eV/atom)
1,-3.341
2,-3.423
3,-3.249
4,-5.214
5,-2.571
6,-2.750
7,-3.133
8,-3.311
9,-2.925
10,-3.226
11,-2.919
12,-3.338